Compound: RbBrCl3
Source: the Alexandria database
Functional: PBE-GGA
Structure: relaxed

Raw total energy = -2.47 eV per atom

Lattice parameters (Å, degrees): 29.430 7.779 11.665 90.00 162.68 90.00
Fractional positions:
Cl: 0.492 0.085 0.050
Cl: 0.992 0.415 0.550
Cl: 0.617 0.919 0.903
Cl: 0.566 0.570 0.321
Cl: 0.934 0.070 0.179
Cl: 0.117 0.581 0.403
Cl: 0.883 0.419 0.597
Cl: 0.434 0.430 0.679
Cl: 0.508 0.915 0.950
Cl: 0.066 0.930 0.821
Cl: 0.383 0.081 0.097
Cl: 0.008 0.585 0.450
Rb: 0.717 0.870 0.862
Rb: 0.783 0.370 0.638
Rb: 0.283 0.130 0.138
Rb: 0.217 0.630 0.362
Br: 0.025 0.820 0.289
Br: 0.525 0.680 0.789
Br: 0.975 0.180 0.711
Br: 0.475 0.320 0.211